{"formula": "CaCeAsAu", "functional": "PBE-GGA", "state": "optimized geometry", "magnetic_moment_mub_per_fu": 1.3, "ef_ev_per_atom": -0.8699, "spacegroup": "No. 216", "lattice": [[5.172, 0.000, 0.000], [2.586, 4.479, 0.000], [2.586, 1.493, 4.223]], "species": ["As", "Ce", "Ca", "Au"], "fractional_positions": [[0.500, 0.500, 0.500], [0.750, 0.750, 0.750], [0.250, 0.250, 0.250], [0.000, 0.000, 0.000]]}

=====

{"formula": "Ca2Cu4As3Au", "functional": "PBE-GGA", "state": "optimized geometry", "magnetic_moment_mub_per_fu": 0.0, "ef_ev_per_atom": -0.4838, "spacegroup": "No. 115", "lattice": [[4.167, 0.000, 0.000], [0.000, 4.167, 0.000], [0.000, 0.000, 10.472]], "species": ["Au", "Cu", "As", "Cu", "Ca", "Ca", "Cu", "As", "Cu", "As"], "fractional_positions": [[0.500, 0.500, 0.500], [0.500, 0.000, 0.643], [0.000, 0.000, 0.500], [0.500, 0.500, 0.000], [0.000, 0.500, 0.758], [0.500, 0.000, 0.242], [0.000, 0.000, 0.000], [0.000, 0.500, 0.133], [0.000, 0.500, 0.357], [0.500, 0.000, 0.867]]}

=====

{"formula": "CaCu2AsAu2", "functional": "PBE-GGA", "state": "optimized geometry", "magnetic_moment_mub_per_fu": 0.0, "ef_ev_per_atom": -0.2579, "spacegroup": "No. 123", "lattice": [[4.607, 0.000, 0.000], [0.000, 4.607, 0.000], [0.000, 0.000, 5.743]], "species": ["Au", "Cu", "Ca", "As", "Au", "Cu"], "fractional_positions": [[0.500, 0.500, 0.736], [0.000, 0.500, 0.000], [0.000, 0.000, 0.500], [0.000, 0.000, 0.000], [0.500, 0.500, 0.264], [0.500, 0.000, 0.000]]}

=====

{"formula": "CaEuAsAu", "functional": "PBE-GGA", "state": "optimized geometry", "magnetic_moment_mub_per_fu": 7.0, "ef_ev_per_atom": -0.9926, "spacegroup": "No. 216", "lattice": [[-1.063, 3.708, 3.497], [-3.287, -0.981, 3.917], [1.801, -0.419, 4.867]], "species": ["Au", "Eu", "As", "Ca"], "fractional_positions": [[0.000, 0.000, 0.000], [0.750, 0.750, 0.750], [0.500, 0.500, 0.500], [0.250, 0.250, 0.250]]}